TbNdY6Er2 | GGA-PBE | optimized geometry

Formation energy from the elements   117 kJ/mol of formula units
M_tot   0.00 Bohr magnetons per cell
DOS(E_F)   62.996 states/eV/cell
Crystal system   monoclinic

Cell: 9.151 14.948 9.677 Å, 90.00 98.57 90.00°
Space group C2/c (No. 15)
Asymmetric unit:
Tb1 0.000 0.025 0.250 x4
Nd1 0.000 0.406 0.750 x4
Y1 0.065 0.183 0.944 x8
Y2 0.099 0.395 0.119 x8
Y3 0.203 0.225 0.319 x8
Er1 0.243 0.050 0.546 x8